Entry 1:
SrCa2Re: relaxed, GGA-PBE.

a b c (Å): 5.7010 5.7010 5.7010
angles (deg): 127.41 127.14 77.80
Element x y z (fractional)
Re 0.5005 0.5005 0.0000
Ca 0.9997 0.9997 0.0000
Ca 0.7490 0.2490 0.5000
Sr 0.2508 0.7508 0.5000

- N(E_F): 4.4 states/eV/f.u.
- Total magnetic moment: 0.92 μB per formula unit
- Distance to the lowest polymorph of the same formula: 141 meV per atom
- Mass density: 5.168 g cm⁻³

Entry 2:
IrRu: relaxed, GGA-PBE.

a b c (Å): 3.6950 6.8147 10.8897
angles (deg): 90.00 90.00 90.00
Element x y z (fractional)
Ir 0.0000 0.8858 0.8612
Ir 0.5000 0.1142 0.6388
Ir 0.5000 0.1142 0.3612
Ir 0.0000 0.8858 0.1388
Ir 0.0000 0.6134 0.5000
Ir 0.5000 0.3866 0.0000
Ru 0.0000 0.8906 0.6398
Ru 0.5000 0.1094 0.8602
Ru 0.5000 0.1094 0.1398
Ru 0.0000 0.8906 0.3602
Ru 0.0000 0.6096 0.0000
Ru 0.5000 0.3904 0.5000

- N(E_F): 1.9 states/eV/f.u.
- Total magnetic moment: 0.00 μB per formula unit
- Distance to the lowest polymorph of the same formula: 1201 meV per atom
- Mass density: 10.656 g cm⁻³

Entry 3:
CaErGa2Au5: relaxed, GGA-PBE.

a b c (Å): 4.4950 4.4950 9.0092
angles (deg): 90.00 90.00 90.00
Element x y z (fractional)
Ca 0.0000 0.0000 0.5000
Er 0.0000 0.0000 0.0000
Ga 0.5000 0.5000 0.1334
Ga 0.5000 0.5000 0.8666
Au 0.0000 0.5000 0.2692
Au 0.5000 0.0000 0.2692
Au 0.0000 0.5000 0.7308
Au 0.5000 0.0000 0.7308
Au 0.5000 0.5000 0.5000

- N(E_F): 3.2 states/eV/f.u.
- Total magnetic moment: 0.00 μB per formula unit
- Mass density: 12.148 g cm⁻³
- Final energy: -3.7395 eV per atom

Entry 4:
SiGeN: relaxed, GGA-PBE.

a b c (Å): 8.2185 2.9859 8.8276
angles (deg): 90.00 115.32 90.00
Element x y z (fractional)
Si 0.5648 0.0000 0.6762
Si 0.5648 0.5000 0.1762
Si 0.1985 0.0000 0.0230
Si 0.1985 0.5000 0.5230
Ge 0.0945 0.0000 0.7037
Ge 0.0945 0.5000 0.2037
Ge 0.7570 0.0000 0.5288
Ge 0.7570 0.5000 0.0288
N 0.4371 0.0000 0.1178
N 0.4371 0.5000 0.6178
N 0.6982 0.0000 0.8872
N 0.6982 0.5000 0.3872

- N(E_F): 0.4 states/eV/f.u.
- ΔE_f (raw): -0.155 eV/atom
- Total magnetic moment: 0.00 μB per formula unit
- Distance to the lowest polymorph of the same formula: 298 meV per atom
- Mass density: 3.892 g cm⁻³

Entry 5:
PrTmOsPd: relaxed, GGA-PBE.

a b c (Å): 4.9496 4.9496 4.9496
angles (deg): 60.00 60.00 60.00
Element x y z (fractional)
Pr 0.2500 0.2500 0.2500
Tm 0.7500 0.7500 0.7500
Os 0.5000 0.5000 0.5000
Pd 0.0000 0.0000 0.0000

- N(E_F): 2.5 states/eV/f.u.
- Total magnetic moment: 0.00 μB per formula unit
- Mass density: 11.746 g cm⁻³
- Final energy: -6.8303 eV per atom

Entry 6:
CaBi3S: relaxed, GGA-PBE.

a b c (Å): 5.8215 5.8215 5.8215
angles (deg): 90.00 90.00 90.00
Element x y z (fractional)
S 0.5000 0.5000 0.5000
Ca 0.0000 0.0000 0.0000
Bi 0.0000 0.5000 0.0000
Bi 0.0000 0.0000 0.5000
Bi 0.5000 0.0000 0.0000

- N(E_F): 4.2 states/eV/f.u.
- ΔE_f (raw): 0.834 eV/atom
- Total magnetic moment: 1.25 μB per formula unit
- Distance to the lowest polymorph of the same formula: 878 meV per atom
- Mass density: 5.884 g cm⁻³

Entry 7:
TlAgP: relaxed, GGA-PBE.

a b c (Å): 4.6457 4.6457 4.6457
angles (deg): 60.00 60.00 60.00
Element x y z (fractional)
Ag 0.5000 0.5000 0.5000
P 0.7500 0.7500 0.7500
Tl 0.0000 0.0000 0.0000

- N(E_F): 2.1 states/eV/f.u.
- Total magnetic moment: 0.00 μB per formula unit
- Distance to the lowest polymorph of the same formula: 212 meV per atom
- Mass density: 8.039 g cm⁻³

Entry 8:
CuSi23: relaxed, GGA-PBE.

a b c (Å): 10.2094 10.2094 10.2094
angles (deg): 90.00 90.00 90.00
Element x y z (fractional)
Cu 0.0000 0.0000 0.0000
Cu 0.5000 0.5000 0.5000
Si 0.2500 0.0000 0.5000
Si 0.7500 0.0000 0.5000
Si 0.0000 0.5000 0.2500
Si 0.0000 0.5000 0.7500
Si 0.5000 0.2500 0.0000
Si 0.5000 0.7500 0.0000
Si 0.6825 0.6825 0.6825
Si 0.6825 0.3175 0.3175
Si 0.3175 0.6825 0.3175
Si 0.3175 0.3175 0.6825
Si 0.8175 0.8175 0.8175
Si 0.8175 0.1825 0.1825
Si 0.1825 0.8175 0.1825
Si 0.1825 0.1825 0.8175
Si 0.3175 0.3175 0.3175
Si 0.3175 0.6825 0.6825
Si 0.6825 0.3175 0.6825
Si 0.6825 0.6825 0.3175
Si 0.1825 0.1825 0.1825
Si 0.1825 0.8175 0.8175
Si 0.8175 0.1825 0.8175
Si 0.8175 0.8175 0.1825
Si 0.0000 0.6919 0.8833
Si 0.0000 0.3081 0.1167
Si 0.0000 0.6919 0.1167
Si 0.0000 0.3081 0.8833
Si 0.6919 0.8833 0.0000
Si 0.6919 0.1167 0.0000
Si 0.3081 0.8833 0.0000
Si 0.3081 0.1167 0.0000
Si 0.8833 0.0000 0.6919
Si 0.8833 0.0000 0.3081
Si 0.1167 0.0000 0.3081
Si 0.1167 0.0000 0.6919
Si 0.8081 0.5000 0.6167
Si 0.8081 0.5000 0.3833
Si 0.1919 0.5000 0.3833
Si 0.1919 0.5000 0.6167
Si 0.5000 0.6167 0.8081
Si 0.5000 0.3833 0.1919
Si 0.5000 0.6167 0.1919
Si 0.5000 0.3833 0.8081
Si 0.6167 0.8081 0.5000
Si 0.6167 0.1919 0.5000
Si 0.3833 0.8081 0.5000
Si 0.3833 0.1919 0.5000

- N(E_F): 2.4 states/eV/f.u.
- ΔE_f (raw): 0.128 eV/atom
- Total magnetic moment: 0.00 μB per formula unit
- Mass density: 2.214 g cm⁻³

Entry 9:
LiPdRu2N: relaxed, GGA-PBE.

a b c (Å): 4.3818 3.2506 4.3818
angles (deg): 90.00 90.00 90.00
Element x y z (fractional)
Ru 0.0000 0.0000 0.5000
Ru 0.5000 0.0000 0.0000
Li 0.0000 0.0000 0.0000
Pd 0.5000 0.5000 0.5000
N 0.0000 0.5000 0.0000

- N(E_F): 6.6 states/eV/f.u.
- ΔE_f (raw): 1.425 eV/atom
- Total magnetic moment: 0.00 μB per formula unit
- Distance to the lowest polymorph of the same formula: 1439 meV per atom
- Mass density: 8.767 g cm⁻³

Entry 10:
TlPd6Au3: relaxed, GGA-PBE.

a b c (Å): 4.6922 8.9124 8.9124
angles (deg): 36.89 58.72 58.72
Element x y z (fractional)
Tl 0.5000 0.5000 0.5000
Pd 0.5384 0.1044 0.6044
Pd 0.4616 0.3956 0.8956
Pd 0.4616 0.8956 0.3956
Pd 0.5384 0.6044 0.1044
Pd 0.1008 0.8222 0.8222
Pd 0.8992 0.1778 0.1778
Au 0.1211 0.3154 0.3154
Au 0.8789 0.6846 0.6846
Au 0.0000 0.0000 0.0000

- N(E_F): 11.0 states/eV/f.u.
- Total magnetic moment: 0.00 μB per formula unit
- Distance to the lowest polymorph of the same formula: 135 meV per atom
- Mass density: 12.717 g cm⁻³

Entry 11:
Li2Pm2SmSn2: relaxed, GGA-PBE.

a b c (Å): 4.8220 4.8220 9.5757
angles (deg): 75.42 75.42 60.00
Element x y z (fractional)
Li 0.5993 0.5993 0.2021
Li 0.4007 0.4007 0.7979
Pm 0.1290 0.1290 0.6130
Pm 0.8710 0.8710 0.3870
Sm 0.0000 0.0000 0.0000
Sn 0.7357 0.7357 0.7930
Sn 0.2643 0.2643 0.2070

- N(E_F): 4.5 states/eV/f.u.
- Total magnetic moment: 0.00 μB per formula unit
- Mass density: 6.225 g cm⁻³
- Final energy: -4.1949 eV per atom

Entry 12:
Pr2Ga3Ag2: relaxed, GGA-PBE.

a b c (Å): 4.5879 5.8782 6.7495
angles (deg): 110.34 90.00 112.97
Element x y z (fractional)
Pr 0.8454 0.6909 0.2297
Pr 0.1546 0.3091 0.7703
Ga 0.5000 0.0000 0.0000
Ga 0.5925 0.1849 0.4248
Ga 0.4075 0.8151 0.5752
Ag 0.8533 0.7066 0.7433
Ag 0.1467 0.2934 0.2567

- N(E_F): 4.6 states/eV/f.u.
- Total magnetic moment: 0.00 μB per formula unit
- Distance to the lowest polymorph of the same formula: 48 meV per atom
- Mass density: 7.562 g cm⁻³

Repeat the eighth record exactly.
CuSi23: relaxed, GGA-PBE.

a b c (Å): 10.2094 10.2094 10.2094
angles (deg): 90.00 90.00 90.00
Element x y z (fractional)
Cu 0.0000 0.0000 0.0000
Cu 0.5000 0.5000 0.5000
Si 0.2500 0.0000 0.5000
Si 0.7500 0.0000 0.5000
Si 0.0000 0.5000 0.2500
Si 0.0000 0.5000 0.7500
Si 0.5000 0.2500 0.0000
Si 0.5000 0.7500 0.0000
Si 0.6825 0.6825 0.6825
Si 0.6825 0.3175 0.3175
Si 0.3175 0.6825 0.3175
Si 0.3175 0.3175 0.6825
Si 0.8175 0.8175 0.8175
Si 0.8175 0.1825 0.1825
Si 0.1825 0.8175 0.1825
Si 0.1825 0.1825 0.8175
Si 0.3175 0.3175 0.3175
Si 0.3175 0.6825 0.6825
Si 0.6825 0.3175 0.6825
Si 0.6825 0.6825 0.3175
Si 0.1825 0.1825 0.1825
Si 0.1825 0.8175 0.8175
Si 0.8175 0.1825 0.8175
Si 0.8175 0.8175 0.1825
Si 0.0000 0.6919 0.8833
Si 0.0000 0.3081 0.1167
Si 0.0000 0.6919 0.1167
Si 0.0000 0.3081 0.8833
Si 0.6919 0.8833 0.0000
Si 0.6919 0.1167 0.0000
Si 0.3081 0.8833 0.0000
Si 0.3081 0.1167 0.0000
Si 0.8833 0.0000 0.6919
Si 0.8833 0.0000 0.3081
Si 0.1167 0.0000 0.3081
Si 0.1167 0.0000 0.6919
Si 0.8081 0.5000 0.6167
Si 0.8081 0.5000 0.3833
Si 0.1919 0.5000 0.3833
Si 0.1919 0.5000 0.6167
Si 0.5000 0.6167 0.8081
Si 0.5000 0.3833 0.1919
Si 0.5000 0.6167 0.1919
Si 0.5000 0.3833 0.8081
Si 0.6167 0.8081 0.5000
Si 0.6167 0.1919 0.5000
Si 0.3833 0.8081 0.5000
Si 0.3833 0.1919 0.5000

- N(E_F): 2.4 states/eV/f.u.
- ΔE_f (raw): 0.128 eV/atom
- Total magnetic moment: 0.00 μB per formula unit
- Mass density: 2.214 g cm⁻³

Q: Which value of total magnetic moment does entry 12 give?
A: 0.00 μB per formula unit

Q: Among the records above, which one has the highest N(E_F)?
A: TlPd6Au3